No. 1
Computed, not measured: a relaxed structure of TbDy6Th at the PBE level of DFT.

Summary:
- excess energy over the best structure of this formula in the dataset (meV per atom) = 0
- ΔH_f (0 K) (meV per atom) = 30
- space-group type = P4/mmm (123)
- DOS(E_F) (states/eV/cell) = 11.42

Cell and atoms, written as POSCAR:
```
TbDy6Th
1.0
5.0279 0.0000 0.0000
0.0000 5.0279 0.0000
0.0000 0.0000 9.9977
Tb Dy Th
1 6 1
Direct
0.0000 0.0000 0.0000
0.0000 0.5000 0.2524
0.0000 0.5000 0.7476
0.5000 0.0000 0.2524
0.5000 0.0000 0.7476
0.5000 0.5000 0.0000
0.5000 0.5000 0.5000
0.0000 0.0000 0.5000
```

---

No. 2
Computed, not measured: a relaxed structure of CsSF2 at the PBE level of DFT.

Summary:
- excess energy over the best structure of this formula in the dataset (meV per atom) = 526
- space-group type = R-3m (166)
- formation energy (no corrections) (eV per atom) = -0.989
- DOS(E_F) (states/eV/cell) = 0.40

Cell and atoms, written as POSCAR:
```
CsSF2
1.0
2.1028 1.2141 5.2025
-2.1028 1.2141 5.2025
0.0000 -2.4281 5.2025
Cs S F
1 1 2
Direct
0.0000 0.0000 0.0000
0.5000 0.5000 0.5000
0.1996 0.1996 0.1996
0.8004 0.8004 0.8004
```

---

No. 3
Computed, not measured: a relaxed structure of CaDy at the PBE level of DFT.

Summary:
- excess energy over the best structure of this formula in the dataset (meV per atom) = 0
- ΔH_f (0 K) (meV per atom) = 53
- space-group type = P4/nmm (129)
- DOS(E_F) (states/eV/cell) = 5.97

Cell and atoms, written as POSCAR:
```
CaDy
1.0
3.6940 0.0000 0.0000
0.0000 3.6940 0.0000
0.0000 0.0000 10.5441
Ca Dy
2 2
Direct
0.2500 0.2500 0.1400
0.7500 0.7500 0.8600
0.2500 0.2500 0.6064
0.7500 0.7500 0.3936
```

---

No. 4
Computed, not measured: a relaxed structure of Ti4Pd2N at the PBE level of DFT.

Summary:
- excess energy over the best structure of this formula in the dataset (meV per atom) = 28
- space-group type = I4/mmm (139)
- formation energy (no corrections) (eV per atom) = -0.734
- DOS(E_F) (states/eV/cell) = 3.83

Cell and atoms, written as POSCAR:
```
Ti4Pd2N
1.0
-2.0399 2.0399 6.4278
2.0399 -2.0399 6.4278
2.0399 2.0399 -6.4278
Ti Pd N
4 2 1
Direct
0.0000 0.5000 0.5000
0.1718 0.1718 0.0000
0.5000 0.0000 0.5000
0.8282 0.8282 0.0000
0.3589 0.3589 0.0000
0.6411 0.6411 0.0000
0.0000 0.0000 0.0000
```

---

No. 5
Computed, not measured: a relaxed structure of Pm8TlAg2 at the PBE level of DFT.

Summary:
- excess energy over the best structure of this formula in the dataset (meV per atom) = 0
- ΔH_f (0 K) (meV per atom) = -144
- space-group type = C2/m (12)
- DOS(E_F) (states/eV/cell) = 11.41

Cell and atoms, written as POSCAR:
```
Pm8TlAg2
1.0
8.2937 -2.7010 0.0000
8.2937 2.7010 0.0000
-4.2998 0.0000 7.4587
Pm Tl Ag
8 1 2
Direct
0.0691 0.0691 0.2230
0.1435 0.1435 0.7018
0.3153 0.3153 0.5386
0.4025 0.4025 0.0433
0.5975 0.5975 0.9567
0.6847 0.6847 0.4614
0.8565 0.8565 0.2982
0.9309 0.9309 0.7770
0.5000 0.5000 0.5000
0.2231 0.2231 0.1173
0.7769 0.7769 0.8827
```

---

No. 6
Computed, not measured: a relaxed structure of Li5CdPd3 at the PBE level of DFT.

Summary:
- excess energy over the best structure of this formula in the dataset (meV per atom) = 123
- ΔH_f (0 K) (meV per atom) = -208
- space-group type = I4/mcm (140)
- DOS(E_F) (states/eV/cell) = 6.77

Cell and atoms, written as POSCAR:
```
Li5CdPd3
1.0
-3.0351 3.0351 7.9877
3.0351 -3.0351 7.9877
3.0351 3.0351 -7.9877
Li Cd Pd
10 2 6
Direct
0.0000 0.0000 0.0000
0.0823 0.5823 0.9305
0.1518 0.0823 0.5000
0.3482 0.8482 0.9305
0.4177 0.3482 0.5000
0.5000 0.5000 0.0000
0.5823 0.6518 0.5000
0.6518 0.1518 0.0695
0.8482 0.9177 0.5000
0.9177 0.4177 0.0695
0.2500 0.7500 0.5000
0.7500 0.2500 0.5000
0.1474 0.3526 0.5000
0.2500 0.2500 0.0000
0.3526 0.8526 0.2051
0.6474 0.1474 0.7949
0.7500 0.7500 0.0000
0.8526 0.6474 0.5000
```

---

No. 7
Computed, not measured: a relaxed structure of TaZn2Se at the PBE level of DFT.

Summary:
- space-group type = Pm (6)
- formation energy (no corrections) (eV per atom) = 0.073
- DOS(E_F) (states/eV/cell) = 2.54

Cell and atoms, written as POSCAR:
```
TaZn2Se
1.0
2.9557 0.0000 0.0000
0.0000 4.7036 0.0000
-0.0109 0.0000 4.9830
Ta Zn Se
1 2 1
Direct
0.0000 0.0000 0.0000
0.5001 0.0000 0.4984
0.5015 0.5000 0.2221
0.9971 0.5000 0.7638
```

---

No. 8
Computed, not measured: a relaxed structure of RbCaAlH6 at the PBE level of DFT.

Summary:
- space-group type = P312 (149)
- total DFT energy (no corrections) (eV per atom) = -3.262
- DOS(E_F) (states/eV/cell) = 0.00

Cell and atoms, written as POSCAR:
```
RbCaAlH6
1.0
5.4211 0.0000 0.0000
-2.7105 4.6948 0.0000
0.0000 0.0000 5.7089
Rb Ca Al H
1 1 1 6
Direct
0.0000 0.0000 0.0000
0.3333 0.6667 0.5000
0.6667 0.3333 0.5000
0.4135 0.0592 0.6807
0.4135 0.3543 0.3193
0.6457 0.0592 0.3193
0.6457 0.5865 0.6807
0.9408 0.3543 0.6807
0.9408 0.5865 0.3193
```

---

- What is the formula in the seventh record?
  TaZn2Se